DFT (PBE) results for crystalline PAu3 at its relaxed geometry.

Unit cell a=8.9331 b=8.0268 c=4.1919 alpha=90.00 beta=90.00 gamma=90.00
Space group Cmcm (No. 63)
Unique sites:
1 P 0.0000 0.0601 0.2500
2 Au 0.0000 0.3634 0.2500
3 Au 0.2269 0.3729 0.7500

Output
Spin magnetization = 0.0000 μB per atom
Energy of formation = 9.6 kJ/mol of atoms
Distance to the lowest polymorph of the same formula = 74 meV/atom
Density of states at the Fermi level = 4.541 states/eV/cell